Record 1
# Na2Mg2ReO6 PBE optimized geometry
data_Na2Mg2ReO6
_space_group_name_H-M_alt 'C 1 2/m 1'
_space_group_IT_number 12
_cell_length_a 5.286
_cell_length_b 8.936
_cell_length_c 5.704
_cell_angle_alpha 90.00
_cell_angle_beta 109.16
_cell_angle_gamma 90.00
loop_
_space_group_symop_operation_xyz
'x,y,z'
'-x,-y,-z'
'-x,y,-z'
'x,-y,z'
'x+1/2,y+1/2,z'
'-x+1/2,-y+1/2,-z'
'-x+1/2,y+1/2,-z'
'x+1/2,-y+1/2,z'
loop_
_atom_site_label
_atom_site_fract_x
_atom_site_fract_y
_atom_site_fract_z
Na1 0.000 0.174 0.000
Mg1 0.000 0.337 0.500
Re1 0.000 0.000 0.500
O1 0.222 0.159 0.697
O2 0.241 0.000 0.304
# - Magnetic moment: 2.00 μB per cell
# - Total DFT energy (no corrections): -6.362 eV per atom

=====

Record 2
# NaMgOs PBE optimized geometry
data_NaMgOs
_space_group_name_H-M_alt 'F -4 3 m'
_space_group_IT_number 216
_space_group_name_Hall 'F -4 2 3'
_cell_length_a 6.399
_cell_length_b 6.399
_cell_length_c 6.399
_cell_angle_alpha 90.00
_cell_angle_beta 90.00
_cell_angle_gamma 90.00
loop_
_atom_site_label
_atom_site_fract_x
_atom_site_fract_y
_atom_site_fract_z
Na1 0.000 0.000 0.000
Mg1 0.250 0.250 0.250
Os1 0.000 0.000 0.500
# - Magnetic moment: 4.75 μB per cell
# - Energy relative to the lowest polymorph listed for this composition: 0 meV per atom
# - Total DFT energy (no corrections): -3.311 eV per atom

=====

Q: total DFT energy (no corrections) of number 1 (Na2Mg2ReO6)?
A: -6.362 eV per atom